First-principles (PBE) data for a geometry-optimized Ag3SbI structure, as listed in Alexandria.

Structure (POSCAR):
```
Ag3SbI
1.0
5.342 0.000 0.000
0.000 5.342 0.000
0.000 0.000 5.342
Ag Sb I
3 1 1
direct
0.000 0.000 0.500 Ag
0.000 0.500 0.000 Ag
0.500 0.000 0.000 Ag
0.000 0.000 0.000 Sb
0.500 0.500 0.500 I
```

## Properties
SG   Pm-3m (221)
Size of the total moment   0.00 μB per formula unit
Uncorrected formation energy   0.31 eV per atom

First-principles (PBE) data for a geometry-optimized Ca2NiPb structure, as listed in Alexandria.

Structure (POSCAR):
```
Ca2NiPb
1.0
3.486 0.000 0.000
0.000 3.486 0.000
0.000 0.000 8.273
Ca Ni Pb
2 1 1
direct
0.000 0.000 0.206 Ca
0.000 0.000 0.794 Ca
0.500 0.500 0.000 Ni
0.500 0.500 0.500 Pb
```

## Properties
SG   P4/mmm (123)
Formation energy from the elements   -0.961 eV/f.u.
Size of the total moment   0.00 μB per formula unit

Question: Look up the size of the total moment of the first one.
Answer: 0.00 μB per formula unit